DFT (PBE) results for crystalline CrOs2I at its relaxed geometry.

## Properties
spin magnetization = 0.0 μB per cell
SG = I-42d, No. 122
total DFT energy (no corrections) = -6.998 eV/atom
theoretical density = 10.4 g/cm3
calculated volume = 22.227 A^3/atom
crystal system = tetragonal

Lattice parameters (Å, degrees): 5.6199 5.6199 6.8913 65.94 65.94 90.00
Closest atoms and distances in Å follow each position.
Fractional coordinates of all 8 atoms:
I: 0.0000 0.0000 0.0000  4 Os 2.61
I: 0.7500 0.2500 0.5000  4 Os 2.61
Cr: 0.5000 0.5000 0.0000  4 Os 2.29
Cr: 0.2500 0.7500 0.5000  4 Os 2.29
Os: 0.5754 0.1250 0.2500  2 Cr 2.29
Os: 0.1746 0.6250 0.2500  2 Cr 2.29
Os: 0.3750 0.4246 0.7500  2 Cr 2.29
Os: 0.8750 0.8254 0.7500  2 Cr 2.29


DFT (PBE) results for crystalline La3Ir at its relaxed geometry.

## Properties
spin magnetization = 0.0 μB per cell
SG = Pm-3n, No. 223
theoretical density = 9.4 g/cm3
calculated volume = 26.866 A^3/atom
DFT formation energy = -0.11 eV/atom
crystal system = cubic

Lattice parameters (Å, degrees): 5.9901 5.9901 5.9901 90.00 90.00 90.00
Closest atoms and distances in Å follow each position.
Fractional coordinates of all 8 atoms:
La: 0.0000 0.2500 0.5000  2 La 3.00, 4 Ir 3.35
La: 0.0000 0.7500 0.5000  2 La 3.00, 4 Ir 3.35
La: 0.2500 0.5000 0.0000  2 La 3.00, 4 Ir 3.35
La: 0.5000 0.0000 0.2500  2 La 3.00, 4 Ir 3.35
La: 0.5000 0.0000 0.7500  2 La 3.00, 4 Ir 3.35
La: 0.7500 0.5000 0.0000  2 La 3.00, 4 Ir 3.35
Ir: 0.0000 0.0000 0.0000  12 La 3.35
Ir: 0.5000 0.5000 0.5000  12 La 3.35


DFT (PBE) results for crystalline PuPaSe2 at its relaxed geometry.

## Properties
spin magnetization = 7.6 μB per cell
SG = P4/mmm, No. 123
total DFT energy (no corrections) = -8.875 eV/atom
theoretical density = 11.6 g/cm3
calculated volume = 22.614 A^3/atom
crystal system = tetragonal

Lattice parameters (Å, degrees): 3.5637 3.5637 7.1228 90.00 90.00 90.00
Closest atoms and distances in Å follow each position.
Fractional coordinates of all 4 atoms:
Pa: 0.5000 0.5000 0.0000  8 Se 3.05
Se: 0.0000 0.0000 0.7584  4 Pa 3.05, 4 Pu 3.12
Se: 0.0000 0.0000 0.2416  4 Pa 3.05, 4 Pu 3.12
Pu: 0.5000 0.5000 0.5000  8 Se 3.12


DFT (PBE) results for crystalline ZnSi2Ni at its relaxed geometry.

## Properties
spin magnetization = 0.0 μB per cell
SG = I-42d, No. 122
total DFT energy (no corrections) = -4.428 eV/atom
theoretical density = 5.1 g/cm3
calculated volume = 14.652 A^3/atom
crystal system = tetragonal

Lattice parameters (Å, degrees): 3.8721 3.8721 8.2834 76.48 76.48 90.00
Closest atoms and distances in Å follow each position.
Fractional coordinates of all 8 atoms:
Ni: 0.5000 0.5000 0.0000  4 Si 2.33
Ni: 0.2500 0.7500 0.5000  4 Si 2.33
Zn: 0.0000 0.0000 0.0000  4 Si 2.45, 4 Ni 2.74
Zn: 0.7500 0.2500 0.5000  4 Si 2.45, 4 Ni 2.74
Si: 0.5888 0.1250 0.2500  2 Ni 2.33, 2 Zn 2.45, 2 Si 2.55
Si: 0.1612 0.6250 0.2500  2 Ni 2.33, 2 Zn 2.45, 2 Si 2.55
Si: 0.3750 0.4112 0.7500  2 Ni 2.33, 2 Zn 2.45, 2 Si 2.55
Si: 0.8750 0.8388 0.7500  2 Ni 2.33, 2 Zn 2.45, 2 Si 2.55